1.
This record from Alexandria describes crystalline NaMo2PtO8 at its relaxed geometry. The functional is PBE+U.

Lattice parameters (Å, degrees): 5.833 5.833 6.546 90.00 90.00 120.00
Site moments in Bohr magnetons follow the coordinates.
Atoms (fractional coordinates):
Mo1 0.667 0.333 0.276  0.16
Mo2 0.333 0.667 0.724  0.16
O1 0.680 0.840 0.803  0.03
O2 0.333 0.667 0.458  -0.01
O3 0.320 0.160 0.197  0.03
O4 0.160 0.320 0.803  0.03
O5 0.840 0.680 0.197  0.03
O6 0.667 0.333 0.542  -0.01
O7 0.840 0.160 0.197  0.03
O8 0.160 0.840 0.803  0.03
Pt1 0.000 0.000 0.000  0.53
Na1 0.000 0.000 0.500  0.00

Values from the calculation:
Space-group type = No. 164

2.
This record from Alexandria describes crystalline Na2PuMo2O6 at its relaxed geometry. The functional is PBE+U.

Lattice parameters (Å, degrees): 5.382 5.382 6.022 98.87 98.87 116.31
Site moments in Bohr magnetons follow the coordinates.
Atoms (fractional coordinates):
Na1 0.182 0.818 0.000  0.00
Na2 0.818 0.182 0.000  0.00
O1 0.418 0.054 0.692  -0.04
O2 0.243 0.243 0.265  -0.04
O3 0.582 0.946 0.308  -0.04
O4 0.054 0.418 0.692  -0.04
O5 0.757 0.757 0.735  -0.04
O6 0.946 0.582 0.308  -0.04
Pu1 0.000 0.000 0.500  4.20
Mo1 0.361 0.639 0.500  0.97
Mo2 0.639 0.361 0.500  0.97

Values from the calculation:
Space-group type = No. 12

no.,total magnetic moment (μB per cell),DFT total energy (eV per atom),D(E_F) (states/eV per cell)
1,1.0,-6.375,6.4
2,6.0,-7.387,0.7